Entry from Alexandria: an optimized crystal structure of Sr3LiMn2O6 (PBE+U).

Output
calculated total energy	-0.452	Ry/atom
magnetization	8.99	μB/cell

a = 5.8367 Å, b = 5.8367 Å, c = 6.4105 Å
α = 90.00°, β = 90.00°, γ = 120.00°
Space group P-3m1 (No. 164)
Unique sites:
Sr  0.0000  0.0000  0.0000 (multiplicity 1)
Sr  0.3333  0.6667  0.6167 (multiplicity 2)
Li  0.0000  0.0000  0.5000 (multiplicity 1)
Mn  0.3333  0.6667  0.1575 (multiplicity 2)
O  0.1677  0.3355  0.2912 (multiplicity 6)